No. 1
Here is Sc4CdRu after structural relaxation from Alexandria. Energies are from PBE-GGA.

abc: 4.7297 4.7747 7.8737
angles: 72.28 72.52 60.31
Element x y z (fractional)
Sc: 0.3641 0.3623 0.9095
Cd: 0.5000 0.5000 0.5000
Ru: 0.0000 0.0000 0.0000
Sc: 0.8840 0.8894 0.3427
Sc: 0.1160 0.1106 0.6573
Sc: 0.6359 0.6377 0.0905

Properties
* total magnetization: 0.00 μB/f.u.
* N(E_F): 1.44 states/eV/atom
* energy relative to the elements: -0.100 eV/atom


No. 2
Here is Sc2CdRu after structural relaxation from Alexandria. Energies are from PBE-GGA.

abc: 5.2996 5.2996 5.2996
angles: 133.95 133.95 67.17
Element x y z (fractional)
Sc: 0.0000 0.0000 0.0000
Ru: 0.7500 0.2500 0.5000
Sc: 0.2500 0.7500 0.5000
Cd: 0.5000 0.5000 0.0000

Properties
* total magnetization: 0.00 μB/f.u.
* N(E_F): 1.17 states/eV/atom
* energy relative to the elements: -0.200 eV/atom